Compound: ThNpSeN2
Source: Alexandria via LeMat-Bulk
Functional: PBE-GGA
Structure: relaxed Values from VASP.

Cell and atoms, written as Quantum ESPRESSO input:
```
&SYSTEM
  ibrav = 0, nat = 10, ntyp = 4
/
ATOMIC_SPECIES
Th 232.04 Th.upf
Np 237.00 Np.upf
Se 78.96 Se.upf
N 14.01 N.upf
CELL_PARAMETERS angstrom
3.918 0.000 0.000
0.000 3.918 0.000
0.000 0.000 12.491
ATOMIC_POSITIONS angstrom
Th 0.000 0.000 0.000
Th 1.959 1.959 6.245
Np 0.000 0.000 3.899
Np 1.959 1.959 10.144
Se 0.000 0.000 8.116
Se 1.959 1.959 1.871
N 0.000 1.959 4.963
N 0.000 1.959 11.209
N 1.959 0.000 4.963
N 1.959 0.000 11.209
```

Summary:
Its total magnetization is 3.00 μB per formula unit. The calculated volume comes out at 95.9 Å³/f.u. The raw formation energy comes out at -1.533 eV/atom. The calculation puts the density at 9.98 Mg/m³.

***

Compound: ThNpSe2N
Source: Alexandria via LeMat-Bulk
Functional: PBE-GGA
Structure: relaxed Values from VASP.

Cell and atoms, written as Quantum ESPRESSO input:
```
&SYSTEM
  ibrav = 0, nat = 10, ntyp = 4
/
ATOMIC_SPECIES
Th 232.04 Th.upf
Np 237.00 Np.upf
Se 78.96 Se.upf
N 14.01 N.upf
CELL_PARAMETERS angstrom
4.085 0.000 0.000
0.000 4.085 0.000
0.000 0.000 14.441
ATOMIC_POSITIONS angstrom
Th 1.021 1.021 1.162
Th 3.064 3.064 13.279
Np 1.021 1.021 8.845
Np 3.064 3.064 5.597
Se 1.021 1.021 5.870
Se 1.021 1.021 11.553
Se 3.064 3.064 2.889
Se 3.064 3.064 8.571
N 1.021 3.064 0.000
N 3.064 1.021 0.000
```

Summary:
Its total magnetization is 3.93 μB per formula unit. The calculated volume comes out at 120.5 Å³/f.u. The raw formation energy comes out at -1.505 eV/atom. The calculation puts the density at 8.83 Mg/m³.

***

Compound: NpUSeN2
Source: Alexandria via LeMat-Bulk
Functional: PBE-GGA
Structure: relaxed Values from VASP.

Cell and atoms, written as Quantum ESPRESSO input:
```
&SYSTEM
  ibrav = 0, nat = 10, ntyp = 4
/
ATOMIC_SPECIES
Np 237.00 Np.upf
U 238.03 U.upf
Se 78.96 Se.upf
N 14.01 N.upf
CELL_PARAMETERS angstrom
3.803 0.000 0.000
0.000 3.803 0.000
0.000 0.000 12.097
ATOMIC_POSITIONS angstrom
Np 0.000 0.000 0.000
Np 1.902 1.902 6.048
U 0.000 0.000 8.389
U 1.902 1.902 2.341
Se 0.000 0.000 4.204
Se 1.902 1.902 10.253
N 0.000 1.902 1.224
N 0.000 1.902 7.272
N 1.902 0.000 1.224
N 1.902 0.000 7.272
```

Summary:
Its total magnetization is 5.00 μB per formula unit. The calculated volume comes out at 87.5 Å³/f.u. The raw formation energy comes out at -1.371 eV/atom. The calculation puts the density at 11.05 Mg/m³.

***

Compound: YNpSe2N
Source: Alexandria via LeMat-Bulk
Functional: PBE-GGA
Structure: relaxed Values from VASP.

Cell and atoms, written as Quantum ESPRESSO input:
```
&SYSTEM
  ibrav = 0, nat = 10, ntyp = 4
/
ATOMIC_SPECIES
Y 88.91 Y.upf
Np 237.00 Np.upf
Se 78.96 Se.upf
N 14.01 N.upf
CELL_PARAMETERS angstrom
3.923 0.000 0.000
0.000 3.923 0.000
0.000 0.000 14.489
ATOMIC_POSITIONS angstrom
Y 0.981 0.981 1.818
Y 2.942 2.942 12.672
Np 0.981 0.981 8.367
Np 2.942 2.942 6.123
Se 0.981 0.981 4.540
Se 0.981 0.981 13.195
Se 2.942 2.942 1.294
Se 2.942 2.942 9.949
N 0.981 2.942 7.245
N 2.942 0.981 7.245
```

Summary:
Its total magnetization is 2.78 μB per formula unit. The calculated volume comes out at 111.5 Å³/f.u. The raw formation energy comes out at -1.527 eV/atom. The calculation puts the density at 7.41 Mg/m³.

***

Compound: ZrNpSeN2
Source: Alexandria via LeMat-Bulk
Functional: PBE-GGA
Structure: relaxed Values from VASP.

Cell and atoms, written as Quantum ESPRESSO input:
```
&SYSTEM
  ibrav = 0, nat = 10, ntyp = 4
/
ATOMIC_SPECIES
Zr 91.22 Zr.upf
Np 237.00 Np.upf
Se 78.96 Se.upf
N 14.01 N.upf
CELL_PARAMETERS angstrom
6.402 0.000 0.000
0.000 3.949 0.000
-2.387 0.000 7.054
ATOMIC_POSITIONS angstrom
Zr 0.020 0.987 2.936
Zr 3.996 2.962 4.118
Np -1.018 0.987 6.551
Np 5.034 2.962 0.502
Se 2.310 2.962 1.840
Se 1.706 0.987 5.214
N -0.853 2.962 2.662
N -1.942 2.962 6.243
N 5.957 0.987 0.811
N 4.869 0.987 4.392
```

Summary:
Its total magnetization is 3.00 μB per formula unit. The calculated volume comes out at 89.2 Å³/f.u. The raw formation energy comes out at -1.365 eV/atom. The calculation puts the density at 8.10 Mg/m³.

***

Compound: Sm2NpN4
Source: Alexandria via LeMat-Bulk
Functional: PBE-GGA
Structure: relaxed Values from VASP.

Cell and atoms, written as Quantum ESPRESSO input:
```
&SYSTEM
  ibrav = 0, nat = 14, ntyp = 3
/
ATOMIC_SPECIES
Sm 150.36 Sm.upf
Np 237.00 Np.upf
N 14.01 N.upf
CELL_PARAMETERS angstrom
5.946 0.000 0.000
0.000 9.843 0.000
0.000 0.000 3.568
ATOMIC_POSITIONS angstrom
Sm 0.404 1.749 0.000
Sm 2.569 6.670 0.000
Sm 3.377 3.172 0.000
Sm 5.542 8.094 0.000
Np 0.000 4.921 1.784
Np 2.973 0.000 1.784
N 0.814 6.786 1.784
N 1.330 4.457 0.000
N 1.644 9.378 0.000
N 2.160 1.865 1.784
N 3.787 7.978 1.784
N 4.303 0.464 0.000
N 4.617 5.386 0.000
N 5.133 3.057 1.784
```

Summary:
Its total magnetization is 1.00 μB per formula unit. The calculated volume comes out at 104.4 Å³/f.u. The raw formation energy comes out at -1.375 eV/atom. The calculation puts the density at 9.44 Mg/m³.

***

Compound: SmNpN
Source: Alexandria via LeMat-Bulk
Functional: PBE-GGA
Structure: relaxed Values from VASP.

Cell and atoms, written as Quantum ESPRESSO input:
```
&SYSTEM
  ibrav = 0, nat = 12, ntyp = 3
/
ATOMIC_SPECIES
Sm 150.36 Sm.upf
Np 237.00 Np.upf
N 14.01 N.upf
CELL_PARAMETERS angstrom
0.000 4.548 5.772
4.530 0.000 5.772
4.530 4.548 0.000
ATOMIC_POSITIONS angstrom
Sm 0.000 0.000 0.000
Sm 2.265 2.274 0.000
Sm 2.265 0.000 2.886
Sm 0.000 2.274 2.886
Np 3.397 3.411 2.676
Np 5.662 5.685 5.562
Np 3.397 3.411 5.982
Np 5.662 5.685 8.868
N 4.929 3.411 4.329
N 7.194 5.685 7.215
N 1.865 3.411 4.329
N 4.130 5.685 7.215
```

Summary:
Its total magnetization is 3.98 μB per formula unit. The calculated volume comes out at 59.5 Å³/f.u. The raw formation energy comes out at -0.351 eV/atom. The calculation puts the density at 11.21 Mg/m³.

***

Compound: Sm5Np3N8
Source: Alexandria via LeMat-Bulk
Functional: PBE-GGA
Structure: relaxed Values from VASP.

Cell and atoms, written as Quantum ESPRESSO input:
```
&SYSTEM
  ibrav = 0, nat = 16, ntyp = 3
/
ATOMIC_SPECIES
Sm 150.36 Sm.upf
Np 237.00 Np.upf
N 14.01 N.upf
CELL_PARAMETERS angstrom
3.519 2.032 5.763
-3.519 2.032 5.763
0.000 -4.064 5.763
ATOMIC_POSITIONS angstrom
Sm 0.000 0.000 0.000
Sm -1.760 -1.016 5.763
Sm -1.760 1.016 11.525
Sm 0.000 2.032 5.763
Sm 0.000 0.000 8.644
Np -3.519 0.000 8.644
Np -1.760 1.016 2.881
Np 1.760 1.016 2.881
N -1.835 -1.060 9.958
N 0.000 0.000 4.194
N 0.000 -2.119 7.330
N -1.835 1.060 7.330
N 1.835 -1.060 9.958
N 0.000 2.119 9.958
N 0.000 0.000 13.094
N 1.835 1.060 7.330
```

Summary:
Its total magnetization is 9.09 μB per formula unit. The calculated volume comes out at 247.2 Å³/f.u. The raw formation energy comes out at -1.354 eV/atom. The calculation puts the density at 10.58 Mg/m³.

***

Among the records above, which one has the highest raw formation energy?
SmNpN

***

What did the fourth record say?
Compound: YNpSe2N
Source: Alexandria via LeMat-Bulk
Functional: PBE-GGA
Structure: relaxed Values from VASP.

Cell and atoms, written as Quantum ESPRESSO input:
```
&SYSTEM
  ibrav = 0, nat = 10, ntyp = 4
/
ATOMIC_SPECIES
Y 88.91 Y.upf
Np 237.00 Np.upf
Se 78.96 Se.upf
N 14.01 N.upf
CELL_PARAMETERS angstrom
3.923 0.000 0.000
0.000 3.923 0.000
0.000 0.000 14.489
ATOMIC_POSITIONS angstrom
Y 0.981 0.981 1.818
Y 2.942 2.942 12.672
Np 0.981 0.981 8.367
Np 2.942 2.942 6.123
Se 0.981 0.981 4.540
Se 0.981 0.981 13.195
Se 2.942 2.942 1.294
Se 2.942 2.942 9.949
N 0.981 2.942 7.245
N 2.942 0.981 7.245
```

Summary:
Its total magnetization is 2.78 μB per formula unit. The calculated volume comes out at 111.5 Å³/f.u. The raw formation energy comes out at -1.527 eV/atom. The calculation puts the density at 7.41 Mg/m³.